*a*
Material: Be3Pt5
Method: DFT, PBE-GGA
State: optimized geometry

Its space group is No. 65.

```
8
Lattice="3.499 -4.042 0.000 3.499 4.042 0.000 0.000 0.000 3.684" Properties=species:S:1:pos:R:3 pbc="T T T"
Be 0.000 0.000 0.000
Be 3.499 1.835 1.842
Be 3.499 -1.835 1.842
Pt 1.750 2.021 0.000
Pt 1.398 0.000 1.842
Pt 1.750 -2.021 0.000
Pt 3.499 0.000 0.000
Pt 5.600 0.000 1.842
```

*b*
Material: Be3Pt5
Method: DFT, PBE-GGA
State: optimized geometry

Its space group is No. 12.

```
16
Lattice="2.630 -6.378 0.000 2.630 6.378 0.000 -1.471 0.000 6.195" Properties=species:S:1:pos:R:3 pbc="T T T"
Be 2.630 4.394 0.000
Be 1.895 3.111 3.098
Be 1.225 0.000 4.213
Be 2.565 0.000 1.983
Be 1.895 -3.111 3.098
Be 2.630 -4.394 0.000
Pt 0.523 1.375 2.319
Pt 0.520 2.384 4.961
Pt 1.320 0.000 0.016
Pt 0.523 -1.375 2.319
Pt 3.269 2.384 1.234
Pt 0.520 -2.384 4.961
Pt 3.267 1.375 3.876
Pt 2.469 0.000 6.179
Pt 3.269 -2.384 1.234
Pt 3.267 -1.375 3.876
```

*c*
Material: Be3Pt5
Method: DFT, PBE-GGA
State: optimized geometry

Its space group is No. 123.

```
8
Lattice="2.799 0.000 0.000 0.000 2.799 0.000 0.000 0.000 12.880" Properties=species:S:1:pos:R:3 pbc="T T T"
Be 0.000 0.000 0.000
Be 1.399 1.399 4.923
Be 1.399 1.399 7.957
Pt 0.000 0.000 3.591
Pt 0.000 0.000 6.440
Pt 0.000 0.000 9.289
Pt 1.399 1.399 1.426
Pt 1.399 1.399 11.453
```

Which is the most stable structure? *c* is the most stable.

*a*
Material: Be5Pt3
Method: DFT, PBE-GGA
State: optimized geometry

Its space group is No. 8.

```
16
Lattice="2.242 -6.509 0.000 2.242 6.509 0.000 -2.218 0.000 6.184" Properties=species:S:1:pos:R:3 pbc="T T T"
Be 0.000 0.000 0.000
Be 1.186 1.879 0.719
Be 1.947 4.842 2.391
Be 1.364 4.092 4.688
Be 1.186 -1.879 0.719
Be 0.077 0.000 6.060
Be 1.187 1.084 4.366
Be 1.187 -1.084 4.366
Be 1.364 -4.092 4.688
Be 1.947 -4.842 2.391
Pt -1.044 0.000 3.993
Pt 1.229 0.000 2.033
Pt 2.091 2.487 2.855
Pt 3.392 2.296 0.108
Pt 2.091 -2.487 2.855
Pt 3.392 -2.296 0.108
```

*b*
Material: Be5Pt3
Method: DFT, PBE-GGA
State: optimized geometry

Its space group is No. 63.

```
16
Lattice="6.005 -3.461 0.000 6.005 3.461 0.000 0.000 0.000 4.505" Properties=species:S:1:pos:R:3 pbc="T T T"
Be 2.001 0.000 0.000
Be 2.001 0.000 2.253
Be 4.486 0.877 1.126
Be 6.005 1.749 3.379
Be 4.486 -0.877 3.379
Be 7.524 0.877 1.126
Be 6.005 -1.749 1.126
Be 7.524 -0.877 3.379
Be 10.009 0.000 0.000
Be 10.009 0.000 2.253
Pt 3.757 1.295 3.379
Pt 6.005 2.591 1.126
Pt 3.757 -1.295 1.126
Pt 8.253 1.295 3.379
Pt 6.005 -2.591 3.379
Pt 8.253 -1.295 1.126
```

Which is the most stable structure? *a* is the most stable.

*a*
Material: Be4Pt
Method: DFT, PBE-GGA
State: optimized geometry

Its space group is No. 87.

```
5
Lattice="-2.734 2.734 1.620 2.734 -2.734 1.620 2.734 2.734 -1.620" Properties=species:S:1:pos:R:3 pbc="T T T"
Be 1.689 0.532 0.000
Be 2.202 -1.045 1.620
Be 0.532 3.779 0.000
Be 1.045 2.202 1.620
Pt 0.000 0.000 1.620
```

*b*
Material: Be4Pt
Method: DFT, PBE-GGA
State: optimized geometry

Its space group is No. 229.

```
5
Lattice="-2.570 2.570 2.570 2.570 -2.570 2.570 2.570 2.570 -2.570" Properties=species:S:1:pos:R:3 pbc="T T T"
Be 1.285 1.285 -1.285
Be 1.285 -1.285 1.285
Be -1.285 1.285 1.285
Be 1.285 1.285 1.285
Pt 0.000 0.000 0.000
```

*c*
Material: Be4Pt
Method: DFT, PBE-GGA
State: optimized geometry

Its space group is No. 221.

```
5
Lattice="4.231 0.000 0.000 0.000 4.231 0.000 0.000 0.000 4.231" Properties=species:S:1:pos:R:3 pbc="T T T"
Be 0.000 0.000 0.000
Be 0.000 2.115 2.115
Be 2.115 0.000 2.115
Be 2.115 2.115 0.000
Pt 2.115 2.115 2.115
```

Which is the most stable structure? *a* is the most stable.